Material: FeRuBr
Method: DFT, GGA-PBEsol
State: optimized geometry

Output
Theoretical density (Mg/m³): 8.4
Uncorrected formation energy (eV per atom): 1.061
Polymorph energy (0 for the lowest one) (meV per atom): 467
Fermi-level density of states (states/eV per atom): 1.707

Geometry as CIF:
```
data_FeRuBr
_cell_length_a 5.7299
_cell_length_b 5.7299
_cell_length_c 5.7299
_cell_angle_alpha 90.00
_cell_angle_beta 90.00
_cell_angle_gamma 90.00
_symmetry_space_group_name_H-M 'F -4 3 m'
_symmetry_Int_Tables_number 216
_symmetry_space_group_name_Hall 'F -4 2 3'
loop_
_atom_site_label
_atom_site_type_symbol
_atom_site_fract_x
_atom_site_fract_y
_atom_site_fract_z
Fe1 Fe 0.0000 0.0000 0.0000
Ru1 Ru 0.2500 0.2500 0.7500
Br1 Br 0.2500 0.2500 0.2500
```